Computed, not measured: an optimized crystal structure of Mg6SnCO8 at the GGA-PBE level of DFT.

Cell: 4.2606 4.2606 9.4103 Å, 90.00 90.00 90.00°
Site moments in Bohr magnetons follow the coordinates.
Sites, in units of the cell vectors:
Mg 0.5000 0.5000 0.0000  0.00
Mg 0.5000 0.5000 0.5000  0.00
Mg 0.0000 0.5000 0.2795  0.00
Mg 0.0000 0.5000 0.7205  0.00
Mg 0.5000 0.0000 0.2795  0.00
Mg 0.5000 0.0000 0.7205  0.00
Sn 0.0000 0.0000 0.0000  -0.02
C 0.0000 0.0000 0.5000  0.17
O 0.0000 0.0000 0.2242  0.01
O 0.0000 0.0000 0.7758  0.01
O 0.5000 0.5000 0.2618  0.00
O 0.5000 0.5000 0.7382  0.00
O 0.0000 0.5000 0.0000  -0.01
O 0.0000 0.5000 0.5000  0.01
O 0.5000 0.0000 0.0000  -0.01
O 0.5000 0.0000 0.5000  0.01

Results
Formation energy without anion corrections   -1753 meV/atom
Total magnetic moment   0.30 μB/f.u.
Crystal system   tetragonal